# 1
The following is a DFT calculation (PBE) of a geometry-optimized Ba2CrPbSe structure. Values from VASP.

Summary:
- E_tot (eV for the cell shown) = -22.94
- formation energy without anion corrections (eV per atom) = -0.456
- SG = P4/mmm, No. 123

Geometry as Quantum ESPRESSO input:
```
&SYSTEM
  ibrav = 0, nat = 5, ntyp = 4
/
ATOMIC_SPECIES
Se 78.96 Se.upf
Pb 207.20 Pb.upf
Cr 52.00 Cr.upf
Ba 137.33 Ba.upf
CELL_PARAMETERS angstrom
-4.2537 -4.4759 -1.4025
1.8194 -3.3196 5.0759
-3.3202 2.3093 2.7004
ATOMIC_POSITIONS crystal
Se 0.0000 0.0000 0.0000
Pb 0.5000 0.5000 0.5000
Cr 0.0000 0.0000 0.5000
Ba 0.5000 0.0000 0.0000
Ba 0.0000 0.5000 0.0000
```

# 2
The following is a DFT calculation (PBE) of a geometry-optimized ZrAlCuSi2 structure. Values from VASP.

Summary:
- E_tot (eV for the cell shown) = -22.54
- formation energy without anion corrections (eV per atom) = 0.939
- SG = P4/mmm, No. 123

Geometry as Quantum ESPRESSO input:
```
&SYSTEM
  ibrav = 0, nat = 5, ntyp = 4
/
ATOMIC_SPECIES
Al 26.98 Al.upf
Si 28.09 Si.upf
Cu 63.55 Cu.upf
Zr 91.22 Zr.upf
CELL_PARAMETERS angstrom
4.5835 0.0000 0.0000
0.0000 5.0304 0.0000
0.0000 0.0000 4.5835
ATOMIC_POSITIONS crystal
Al 0.0000 0.0000 0.0000
Si 0.0000 0.0000 0.5000
Si 0.5000 0.0000 0.0000
Cu 0.5000 0.5000 0.5000
Zr 0.0000 0.5000 0.0000
```

# 3
The following is a DFT calculation (PBE) of a geometry-optimized LiY2H structure. Values from VASP.

Summary:
- E_tot (eV for the cell shown) = -36.98
- SG = I-42d, No. 122

Geometry as Quantum ESPRESSO input:
```
&SYSTEM
  ibrav = 0, nat = 8, ntyp = 3
/
ATOMIC_SPECIES
H 1.01 H.upf
Li 6.94 Li.upf
Y 88.91 Y.upf
CELL_PARAMETERS angstrom
6.7845 0.0000 0.0000
0.0000 6.7845 0.0000
3.3923 3.3923 3.8409
ATOMIC_POSITIONS crystal
H 0.2500 0.7500 0.5000
H 0.5000 0.5000 0.0000
Li 0.0000 0.0000 0.0000
Li 0.7500 0.2500 0.5000
Y 0.3750 0.4780 0.7500
Y 0.2280 0.6250 0.2500
Y 0.5220 0.1250 0.2500
Y 0.8750 0.7720 0.7500
```

# 4
The following is a DFT calculation (PBE) of a geometry-optimized HgHPbF6 structure. Values from VASP.

Summary:
- E_tot (eV for the cell shown) = -34.12
- SG = P1, No. 1

Geometry as Quantum ESPRESSO input:
```
&SYSTEM
  ibrav = 0, nat = 9, ntyp = 4
/
ATOMIC_SPECIES
F 19.00 F.upf
Hg 200.59 Hg.upf
H 1.01 H.upf
Pb 207.20 Pb.upf
CELL_PARAMETERS angstrom
5.5413 -0.4018 0.0955
2.4744 3.7158 0.4377
0.0709 0.4236 6.2856
ATOMIC_POSITIONS crystal
F 0.8809 0.5815 0.4243
F 0.3332 0.9473 0.7243
F 0.0001 0.5241 0.9582
F 0.5921 0.2459 0.1047
F 0.7305 0.2308 0.6305
F 0.2471 0.8331 0.2780
Hg 0.4012 0.1926 0.4111
H 0.8130 0.4236 0.5124
Pb 0.0016 0.0212 0.9564
```

# 5
The following is a DFT calculation (PBE) of a geometry-optimized VCuSeN2 structure. Values from VASP.

Summary:
- E_tot (eV for the cell shown) = -31.49
- formation energy without anion corrections (eV per atom) = 0.372
- SG = P4/mmm, No. 123

Geometry as Quantum ESPRESSO input:
```
&SYSTEM
  ibrav = 0, nat = 5, ntyp = 4
/
ATOMIC_SPECIES
Cu 63.55 Cu.upf
N 14.01 N.upf
Se 78.96 Se.upf
V 50.94 V.upf
CELL_PARAMETERS angstrom
3.6768 0.0000 0.0000
0.0000 3.6768 0.0000
0.0000 0.0000 5.4450
ATOMIC_POSITIONS crystal
Cu 0.5000 0.5000 0.5000
N 0.5000 0.0000 0.0000
N 0.0000 0.5000 0.0000
Se 0.0000 0.0000 0.5000
V 0.0000 0.0000 0.0000
```

# 6
The following is a DFT calculation (PBE) of a geometry-optimized Mn2AsW structure. Values from VASP.

Summary:
- E_tot (eV for the cell shown) = -35.55
- SG = P4/mmm, No. 123
- energy of formation (eV/atom) = 0.098

Geometry as Quantum ESPRESSO input:
```
&SYSTEM
  ibrav = 0, nat = 4, ntyp = 3
/
ATOMIC_SPECIES
Mn 54.94 Mn.upf
As 74.92 As.upf
W 183.84 W.upf
CELL_PARAMETERS angstrom
2.9982 0.0000 0.0000
0.0000 2.9982 0.0000
0.0000 0.0000 5.8255
ATOMIC_POSITIONS crystal
Mn 0.0000 0.0000 0.5059
Mn 0.0000 0.0000 0.9941
As 0.5000 0.5000 0.7500
W 0.5000 0.5000 0.2500
```

Question: The highest E_tot belongs to which entry?
Answer: ZrAlCuSi2